P.
The following is a DFT calculation (GGA-PBE) of a relaxed BaAlTe crystal.

DOS at the Fermi energy	0.570	states/eV/atom

Lattice parameters (Å, degrees): 5.646 5.661 11.956 90.00 90.00 90.00
Space group Fmm2 (No. 42)
Symmetry-distinct sites (fractional):
Ba 0.000 0.000 0.000
Al 0.000 0.000 0.703
Te 0.000 0.000 0.299

Q.
The following is a DFT calculation (GGA-PBE) of a relaxed BaAlTe crystal.

DOS at the Fermi energy	0.805	states/eV/atom

Lattice parameters (Å, degrees): 7.959 7.959 7.959 90.00 90.00 90.00
Space group F-43m (No. 216)
Symmetry-distinct sites (fractional):
Ba 0.000 0.000 0.000
Al 0.250 0.250 0.250
Te 0.250 0.250 0.750

R.
The following is a DFT calculation (GGA-PBE) of a relaxed BaAlTe crystal.

DOS at the Fermi energy	0.631	states/eV/atom

Lattice parameters (Å, degrees): 5.1407 5.1407 4.5080 90.00 90.00 120.00
Space group P3m1 (No. 156)
Symmetry-distinct sites (fractional):
Ba 0.0000 0.0000 0.0000
Al 0.3333 0.6667 0.5010
Te 0.6667 0.3333 0.4998

Pick the least stable structure from those above. Pick: Q